Compound: MnNi2GeO6
Source: Alexandria via LeMat-Bulk
Functional: GGA+U
Structure: optimized geometry

## Properties
The calculation puts the total energy at -6.00 eV/atom.

a b c (Å): 5.347 5.347 5.347
angles (deg): 56.16 56.16 56.16
Sites, in units of the cell vectors:
Mn  0.000  0.000  0.000
Ni  0.296  0.296  0.296
Ni  0.797  0.797  0.797
Ge  0.503  0.503  0.503
O  0.117  0.718  0.376
O  0.222  0.611  0.873
O  0.376  0.117  0.718
O  0.611  0.873  0.222
O  0.718  0.376  0.117
O  0.873  0.222  0.611